VASP calculation (PBE) on crystalline SrMgTaCd2 at its relaxed geometry.

Summary:
Volume   185.2 Å³/cell
DOS(E_F)   5.5 states/eV/cell
Offset from the most stable computed form   3.32 eV per formula unit
ΔE_f   1.68 eV/atom

```
SrMgTaCd2
1.0
5.784 0.000 0.000
0.000 5.784 0.000
0.000 0.000 5.535
Sr Mg Ta Cd
1 1 1 2
Cartesian
0.000 0.000 0.000
2.892 2.892 2.767
0.000 0.000 2.767
0.000 2.892 0.000
2.892 0.000 0.000
```

=====

VASP calculation (PBE) on crystalline Mg3Ga4Pt at its relaxed geometry.

Summary:
Volume   159.6 Å³/cell
DOS(E_F)   2.6 states/eV/cell
ΔE_f   -0.28 eV/atom

```
Mg3Ga4Pt
1.0
-2.191 3.273 5.565
2.191 -3.273 5.565
2.191 3.273 -5.565
Mg Ga Pt
3 4 1
Cartesian
0.000 0.000 0.000
2.191 0.000 4.053
0.000 3.273 1.512
2.191 1.348 -1.667
2.191 1.348 1.667
0.000 1.925 3.898
0.000 1.925 7.232
0.000 0.000 5.565
```

=====

VASP calculation (PBE) on crystalline Pr2ErS4 at its relaxed geometry.

Summary:
Volume   343.3 Å³/cell
Formation energy without anion corrections   -2.05 eV/atom
DOS(E_F)   5.3 states/eV/cell
Offset from the most stable computed form   0.00 eV per formula unit

```
Pr2ErS4
1.0
7.280 0.000 0.000
0.000 11.416 0.000
0.000 0.000 4.131
Pr Er S
4 2 8
Cartesian
0.724 2.113 0.000
2.916 7.821 0.000
4.364 3.596 0.000
6.556 9.304 0.000
0.000 5.708 2.066
3.640 0.000 2.066
0.941 8.192 2.066
1.736 5.127 0.000
1.904 10.835 0.000
2.699 2.483 2.066
4.581 8.933 2.066
5.376 0.581 0.000
5.544 6.289 0.000
6.339 3.225 2.066
```

=====

VASP calculation (PBE) on crystalline CrHg2Pb at its relaxed geometry.

Summary:
Volume   97.4 Å³/cell
DOS(E_F)   1.6 states/eV/cell
ΔE_f   0.35 eV/atom

```
CrHg2Pb
1.0
3.592 0.000 0.000
0.000 5.098 0.000
-0.612 0.000 5.320
Cr Hg Pb
1 2 1
Cartesian
0.000 0.000 0.000
0.228 2.549 4.091
2.752 2.549 1.228
1.490 0.000 2.660
```

=====

VASP calculation (PBE) on crystalline Ac2HfCuS6 at its relaxed geometry.

Summary:
Volume   463.4 Å³/cell
Formation energy without anion corrections   -1.57 eV/atom
DOS(E_F)   10.8 states/eV/cell

```
Ac2HfCuS6
1.0
6.680 0.000 0.000
0.000 7.467 0.000
-6.526 0.000 9.291
Ac Hf Cu S
4 2 2 12
Cartesian
-0.171 0.725 2.317
-3.434 3.009 6.962
3.589 4.458 2.329
0.326 6.742 6.974
3.340 0.000 0.000
0.077 3.733 4.645
-3.263 0.000 4.645
0.000 3.733 0.000
-5.267 1.336 8.847
-2.005 2.397 4.202
-4.393 5.216 8.866
-1.130 5.984 4.221
-2.580 0.128 6.841
0.683 3.605 2.196
-0.528 3.862 7.095
2.735 7.338 2.449
1.285 1.482 5.070
4.548 2.251 0.424
2.159 5.070 5.089
5.422 6.131 0.444
```

=====

VASP calculation (PBE) on crystalline CaYCl at its relaxed geometry.

Summary:
Volume   188.1 Å³/cell
Formation energy without anion corrections   -0.88 eV/atom
DOS(E_F)   6.9 states/eV/cell
Offset from the most stable computed form   0.20 eV per formula unit

```
CaYCl
1.0
15.584 0.000 0.000
0.000 1.867 3.232
0.000 -1.867 3.232
Ca Y Cl
2 2 2
Cartesian
0.000 0.000 0.000
7.792 0.000 0.024
4.772 0.000 4.331
10.812 0.000 4.331
2.858 0.000 0.021
12.727 0.000 0.021
```